VASP calculation (GGA+U) on a relaxed ZrMnO3 crystal.

The structure belongs to space group R-3 (No. 148, hexagonal axes); the cell edges are 5.5002, 5.5002 and 14.6431 Å and the angles 90.00°, 90.00° and 120.00°. Symmetry generates all atoms from Zr at (0.0000, 0.0000, 0.1448), Mn at (0.0000, 0.0000, 0.3593) and O at (0.0142, 0.7079, 0.7533).

Its uncorrected energy is -8.82 eV per atom.